Below is a relaxed PaAlVO6 crystal, with properties calculated at the PBE+U level.

Lattice parameters (Å, degrees): 4.794 4.996 4.996 120.00 90.00 90.00
Each line ends with the local moment (μB).
Fractional coordinates of all 9 atoms:
Pa 0.000 0.333 0.667  0.06
O 0.723 0.983 0.311  -0.03
O 0.277 0.328 0.311  -0.03
O 0.277 0.689 0.017  -0.03
O 0.723 0.328 0.017  -0.03
O 0.723 0.689 0.672  -0.03
O 0.277 0.983 0.672  -0.03
V 0.500 0.667 0.333  1.09
Al 0.500 0.000 0.000  0.00

## Properties
crystal system: trigonal
calculated volume: 103.64 Å³ per cell
total DFT energy (no corrections): -8.441 eV/atom